First-principles (PBE) data for a relaxed AlCdCo3 crystal, as listed in the Alexandria database.

Results
Formation energy (eV per atom): 0.808
Excess energy over the best structure of this formula in the dataset (eV per formula unit): 0.00
Size of the total moment (μB per atom): 0.629

```
data_AlCdCo3
_chemical_formula_sum 'Al1 Cd1 Co3'
_cell_length_a 4.307
_cell_length_b 4.307
_cell_length_c 4.307
_cell_angle_alpha 90.00
_cell_angle_beta 90.00
_cell_angle_gamma 90.00
_space_group_name_H-M_alt 'P 1'
_space_group_IT_number 1
_space_group_name_Hall 'P 1'
loop_
_atom_site_label
_atom_site_type_symbol
_atom_site_fract_x
_atom_site_fract_y
_atom_site_fract_z
_atom_site_occupancy
Al1 Al 0.000 0.000 0.000 1
Cd1 Cd 0.500 0.500 0.500 1
Co1 Co 0.000 0.000 0.500 1
Co2 Co 0.000 0.500 0.000 1
Co3 Co 0.500 0.000 0.000 1
```

***

First-principles (PBE) data for a relaxed NdY2ErAs4 crystal, as listed in the Alexandria database.

Results
Formation energy (eV per atom): -1.528
Size of the total moment (μB per atom): 0.000

```
data_NdY2ErAs4
_chemical_formula_sum 'Nd1 Y2 Er1 As4'
_cell_length_a 7.190
_cell_length_b 4.155
_cell_length_c 7.191
_cell_angle_alpha 90.00
_cell_angle_beta 109.48
_cell_angle_gamma 90.00
_space_group_name_H-M_alt 'P 1'
_space_group_IT_number 1
_space_group_name_Hall 'P 1'
loop_
_atom_site_label
_atom_site_type_symbol
_atom_site_fract_x
_atom_site_fract_y
_atom_site_fract_z
_atom_site_occupancy
Nd1 Nd 0.000 0.000 0.000 1
Y1 Y 0.000 0.500 0.500 1
Y2 Y 0.500 0.000 0.500 1
Er1 Er 0.500 0.500 0.000 1
As1 As 0.255 0.000 0.749 1
As2 As 0.257 0.500 0.255 1
As3 As 0.743 0.500 0.745 1
As4 As 0.745 0.000 0.251 1
```

***

First-principles (PBE) data for a relaxed PrGa3Ni3 crystal, as listed in the Alexandria database.

Results
Formation energy (eV per atom): -0.287
Excess energy over the best structure of this formula in the dataset (eV per formula unit): 0.00
Size of the total moment (μB per atom): 0.000

```
data_PrGa3Ni3
_chemical_formula_sum 'Pr2 Ga6 Ni6'
_cell_length_a 7.472
_cell_length_b 7.472
_cell_length_c 7.472
_cell_angle_alpha 51.21
_cell_angle_beta 51.21
_cell_angle_gamma 51.21
_space_group_name_H-M_alt 'P 1'
_space_group_IT_number 1
_space_group_name_Hall 'P 1'
loop_
_atom_site_label
_atom_site_type_symbol
_atom_site_fract_x
_atom_site_fract_y
_atom_site_fract_z
_atom_site_occupancy
Pr1 Pr 0.158 0.158 0.158 1
Pr2 Pr 0.842 0.842 0.842 1
Ga1 Ga 0.056 0.230 0.590 1
Ga2 Ga 0.230 0.590 0.056 1
Ga3 Ga 0.410 0.944 0.770 1
Ga4 Ga 0.590 0.056 0.230 1
Ga5 Ga 0.770 0.410 0.944 1
Ga6 Ga 0.944 0.770 0.410 1
Ni1 Ni 0.204 0.409 0.648 1
Ni2 Ni 0.352 0.796 0.591 1
Ni3 Ni 0.409 0.648 0.204 1
Ni4 Ni 0.591 0.352 0.796 1
Ni5 Ni 0.648 0.204 0.409 1
Ni6 Ni 0.796 0.591 0.352 1
```

***

First-principles (PBE) data for a relaxed PmNd3Sm3S8 crystal, as listed in the Alexandria database.

Results
Formation energy (no corrections) (eV per atom): -2.047
Size of the total moment (μB per atom): 0.000

```
data_PmNd3Sm3S8
_chemical_formula_sum 'Pm1 Nd3 Sm3 S8'
_cell_length_a 8.074
_cell_length_b 8.074
_cell_length_c 8.074
_cell_angle_alpha 59.84
_cell_angle_beta 59.84
_cell_angle_gamma 59.84
_space_group_name_H-M_alt 'P 1'
_space_group_IT_number 1
_space_group_name_Hall 'P 1'
loop_
_atom_site_label
_atom_site_type_symbol
_atom_site_fract_x
_atom_site_fract_y
_atom_site_fract_z
_atom_site_occupancy
Pm1 Pm 0.000 0.000 0.000 1
Nd1 Nd 0.000 0.000 0.500 1
Nd2 Nd 0.000 0.500 0.000 1
Nd3 Nd 0.500 0.000 0.000 1
Sm1 Sm 0.000 0.500 0.500 1
Sm2 Sm 0.500 0.000 0.500 1
Sm3 Sm 0.500 0.500 0.000 1
S1 S 0.250 0.250 0.747 1
S2 S 0.250 0.747 0.250 1
S3 S 0.252 0.252 0.252 1
S4 S 0.253 0.750 0.750 1
S5 S 0.747 0.250 0.250 1
S6 S 0.748 0.748 0.748 1
S7 S 0.750 0.253 0.750 1
S8 S 0.750 0.750 0.253 1
```

***

First-principles (PBE) data for a relaxed La2TeH2S crystal, as listed in the Alexandria database.

Results
Size of the total moment (μB per atom): 0.000

```
data_La2TeH2S
_chemical_formula_sum 'La2 Te1 H2 S1'
_cell_length_a 4.145
_cell_length_b 4.145
_cell_length_c 8.189
_cell_angle_alpha 90.00
_cell_angle_beta 90.00
_cell_angle_gamma 120.00
_space_group_name_H-M_alt 'P 1'
_space_group_IT_number 1
_space_group_name_Hall 'P 1'
loop_
_atom_site_label
_atom_site_type_symbol
_atom_site_fract_x
_atom_site_fract_y
_atom_site_fract_z
_atom_site_occupancy
La1 La 0.333 0.667 0.226 1
La2 La 0.667 0.333 0.774 1
Te1 Te 0.000 0.000 0.500 1
H1 H 0.333 0.667 0.768 1
H2 H 0.667 0.333 0.232 1
S1 S 0.000 0.000 0.000 1
```

***

First-principles (PBE) data for a relaxed Fe5H2 crystal, as listed in the Alexandria database.

Results
Size of the total moment (μB per atom): 1.693

```
data_Fe5H2
_chemical_formula_sum 'Fe10 H4'
_cell_length_a 6.316
_cell_length_b 6.316
_cell_length_c 5.025
_cell_angle_alpha 91.82
_cell_angle_beta 91.82
_cell_angle_gamma 39.47
_space_group_name_H-M_alt 'P 1'
_space_group_IT_number 1
_space_group_name_Hall 'P 1'
loop_
_atom_site_label
_atom_site_type_symbol
_atom_site_fract_x
_atom_site_fract_y
_atom_site_fract_z
_atom_site_occupancy
Fe1 Fe 0.013 0.987 0.750 1
Fe2 Fe 0.182 0.230 0.149 1
Fe3 Fe 0.230 0.182 0.649 1
Fe4 Fe 0.379 0.432 0.424 1
Fe5 Fe 0.432 0.379 0.924 1
Fe6 Fe 0.568 0.621 0.076 1
Fe7 Fe 0.621 0.568 0.576 1
Fe8 Fe 0.770 0.818 0.351 1
Fe9 Fe 0.818 0.770 0.851 1
Fe10 Fe 0.987 0.013 0.250 1
H1 H 0.109 0.575 0.143 1
H2 H 0.425 0.891 0.357 1
H3 H 0.575 0.109 0.643 1
H4 H 0.891 0.425 0.857 1
```

***

| no. | E (eV per atom) |
| --- | --- |
| 1 | -4.39 |
| 2 | -6.63 |
| 3 | -4.74 |
| 4 | -6.46 |
| 5 | -5.41 |
| 6 | -6.91 |